VASP calculation (PBE) on crystalline Na2SrNi at its relaxed geometry.

Geometry as POSCAR:
```
Na2SrNi
1.0
-0.392 -1.416 5.129
0.213 3.721 3.818
-4.387 1.227 2.778
Na Sr Ni
2 1 1
direct
0.250 0.250 0.250
0.750 0.750 0.750
0.500 0.500 0.500
0.000 0.000 0.000
```

Summary:
As for the mass density: 2973 kg/m³. For the energy of formation, the calculation gives 0.41 eV/atom. As for the energy above the most stable polymorph in this dataset: 90 meV per atom. Its density of states at the Fermi level is 0.545 states/eV/atom.

***

VASP calculation (PBE) on crystalline ThIF at its relaxed geometry.

Geometry as POSCAR:
```
ThIF
1.0
3.853 0.000 0.000
0.000 7.898 0.000
0.000 0.000 11.387
Th F I
4 4 4
direct
0.750 0.435 0.635
0.750 0.935 0.865
0.250 0.565 0.365
0.250 0.065 0.135
0.750 0.646 0.775
0.250 0.354 0.225
0.250 0.854 0.275
0.750 0.146 0.725
0.750 0.802 0.521
0.250 0.198 0.479
0.250 0.698 0.021
0.750 0.302 0.979
```

Summary:
As for the mass density: 7244 kg/m³. For the energy relative to the elements, uncorrected, the calculation gives -1.923 eV per atom. Its density of states at the Fermi level is 0.765 states/eV/atom.

***

VASP calculation (PBE) on crystalline Pu4Al3Zn4 at its relaxed geometry.

Geometry as POSCAR:
```
Pu4Al3Zn4
1.0
-0.962 -0.277 -3.478
-2.954 -5.284 1.238
-5.615 7.419 2.845
Zn Al Pu
4 3 4
direct
0.864 0.364 0.729
0.136 0.636 0.271
0.500 0.795 0.000
0.500 0.205 0.000
0.000 0.500 0.000
0.911 0.911 0.822
0.089 0.089 0.178
0.712 0.018 0.424
0.712 0.406 0.424
0.288 0.594 0.576
0.288 0.982 0.576
```

Summary:
As for the mass density: 10822 kg/m³. For the energy of formation, the calculation gives 0.20 eV/atom. Its density of states at the Fermi level is 1.397 states/eV/atom.

***

VASP calculation (PBE) on crystalline ReTeW2 at its relaxed geometry.

Geometry as POSCAR:
```
ReTeW2
1.0
-1.292 -3.654 -0.411
1.918 -1.041 3.229
-7.499 -0.186 6.746
Te W Re
2 4 2
direct
0.250 0.750 0.500
0.500 0.500 0.000
0.875 0.881 0.750
0.631 0.125 0.250
0.375 0.369 0.750
0.119 0.625 0.250
0.750 0.250 0.500
0.000 0.000 0.000
```

Summary:
As for the mass density: 15351 kg/m³. For the energy relative to the elements, uncorrected, the calculation gives 1.148 eV per atom. Its density of states at the Fermi level is 0.983 states/eV/atom.

***

VASP calculation (PBE) on crystalline Li3Br at its relaxed geometry.

Geometry as POSCAR:
```
Li3Br
1.0
5.002 0.000 0.000
2.501 4.332 0.000
2.501 1.444 4.084
Li Br
3 1
direct
0.500 0.500 0.500
0.750 0.750 0.750
0.250 0.250 0.250
0.000 0.000 0.000
```

Summary:
As for the mass density: 1890 kg/m³. For the energy relative to the elements, uncorrected, the calculation gives -0.326 eV per atom. As for the energy above the most stable polymorph in this dataset: 285 meV per atom. Its density of states at the Fermi level is 0.365 states/eV/atom.

***

VASP calculation (PBE) on crystalline PmDyCuPd at its relaxed geometry.

Geometry as POSCAR:
```
PmDyCuPd
1.0
-2.844 -1.449 2.042
2.899 -2.899 1.981
2.365 4.297 2.827
Pd Pm Dy Cu
1 1 1 1
direct
0.579 0.500 0.158
0.860 0.500 0.720
0.137 0.000 0.274
0.424 0.000 0.848
```

Summary:
As for the mass density: 8615 kg/m³. For the energy of formation, the calculation gives -0.55 eV/atom. As for the energy above the most stable polymorph in this dataset: 0 meV per atom. Its density of states at the Fermi level is 0.723 states/eV/atom.